! Th3InNi | Alexandria | PBE | relaxed; values from VASP
&SYSTEM
  ibrav = 0, nat = 10, ntyp = 3
/
ATOMIC_SPECIES
Th 232.04 Th.upf
In 114.82 In.upf
Ni 58.69 Ni.upf
CELL_PARAMETERS angstrom
6.034 0.000 0.000
0.000 6.933 0.000
-2.755 0.000 6.564
ATOMIC_POSITIONS crystal
Th 0.011 0.250 0.328
Th 0.442 0.518 0.215
Th 0.442 0.982 0.215
Th 0.558 0.018 0.785
Th 0.558 0.482 0.785
Th 0.989 0.750 0.672
In 0.084 0.250 0.831
In 0.916 0.750 0.169
Ni 0.322 0.750 0.494
Ni 0.678 0.250 0.506
! Calculated formation energy   -0.209 eV/atom
! Space group   P2_1/m

! Li2Tc2Rh | Alexandria | PBE | relaxed; values from VASP
&SYSTEM
  ibrav = 0, nat = 10, ntyp = 3
/
ATOMIC_SPECIES
Li 6.94 Li.upf
Tc 98.00 Tc.upf
Rh 102.91 Rh.upf
CELL_PARAMETERS angstrom
7.128 0.000 0.000
0.000 7.128 0.000
0.000 0.000 2.734
ATOMIC_POSITIONS crystal
Li 0.187 0.313 0.000
Li 0.313 0.813 0.000
Li 0.687 0.187 0.000
Li 0.813 0.687 0.000
Tc 0.111 0.611 0.500
Tc 0.389 0.111 0.500
Tc 0.611 0.889 0.500
Tc 0.889 0.389 0.500
Rh 0.000 0.000 0.500
Rh 0.500 0.500 0.500
! Calculated formation energy   0.505 eV/atom
! Space group   P4/mbm
! Energy relative to the lowest polymorph listed for this composition   0.000 eV per atom

! Ba2ZrMo | Alexandria | PBE | relaxed; values from VASP
&SYSTEM
  ibrav = 0, nat = 8, ntyp = 3
/
ATOMIC_SPECIES
Ba 137.33 Ba.upf
Zr 91.22 Zr.upf
Mo 95.94 Mo.upf
CELL_PARAMETERS angstrom
4.501 0.000 0.000
0.000 4.501 0.000
0.000 0.000 11.388
ATOMIC_POSITIONS crystal
Ba 0.000 0.500 0.250
Ba 0.000 0.500 0.750
Ba 0.500 0.000 0.250
Ba 0.500 0.000 0.750
Zr 0.000 0.000 0.000
Zr 0.500 0.500 0.500
Mo 0.000 0.000 0.500
Mo 0.500 0.500 0.000
! Calculated formation energy   1.108 eV/atom
! Space group   I4/mmm
! Energy relative to the lowest polymorph listed for this composition   0.604 eV per atom

! CaYBr2 | Alexandria | PBE | relaxed; values from VASP
&SYSTEM
  ibrav = 0, nat = 8, ntyp = 3
/
ATOMIC_SPECIES
Ca 40.08 Ca.upf
Y 88.91 Y.upf
Br 79.90 Br.upf
CELL_PARAMETERS angstrom
9.459 0.000 0.000
0.000 3.715 0.000
-1.354 0.000 6.339
ATOMIC_POSITIONS crystal
Ca 0.000 0.000 0.000
Ca 0.500 0.500 0.000
Y 0.000 0.500 0.500
Y 0.500 0.000 0.500
Br 0.239 0.000 0.732
Br 0.261 0.500 0.268
Br 0.739 0.500 0.732
Br 0.761 0.000 0.268
! Formation energy (no corrections)   -1.048 eV per atom
! Space group   C2/m
! Energy relative to the lowest polymorph listed for this composition   0.203 eV per atom

! NaNdEuCd | Alexandria | PBE | relaxed; values from VASP
&SYSTEM
  ibrav = 0, nat = 16, ntyp = 4
/
ATOMIC_SPECIES
Na 22.99 Na.upf
Nd 144.24 Nd.upf
Eu 151.96 Eu.upf
Cd 112.41 Cd.upf
CELL_PARAMETERS angstrom
7.977 0.000 0.000
0.000 7.977 0.000
0.000 0.000 7.977
ATOMIC_POSITIONS crystal
Na 0.000 0.000 0.000
Na 0.000 0.500 0.500
Na 0.500 0.000 0.500
Na 0.500 0.500 0.000
Nd 0.250 0.250 0.750
Nd 0.250 0.750 0.250
Nd 0.750 0.250 0.250
Nd 0.750 0.750 0.750
Eu 0.250 0.250 0.250
Eu 0.250 0.750 0.750
Eu 0.750 0.250 0.750
Eu 0.750 0.750 0.250
Cd 0.000 0.000 0.500
Cd 0.000 0.500 0.000
Cd 0.500 0.000 0.000
Cd 0.500 0.500 0.500
! Calculated formation energy   -0.027 eV/atom
! Space group   F-43m

! Ba2BeW | Alexandria | PBE | relaxed; values from VASP
&SYSTEM
  ibrav = 0, nat = 12, ntyp = 3
/
ATOMIC_SPECIES
Ba 137.33 Ba.upf
Be 9.01 Be.upf
W 183.84 W.upf
CELL_PARAMETERS angstrom
3.442 0.000 0.000
-1.721 2.981 0.000
0.000 0.000 32.011
ATOMIC_POSITIONS crystal
Ba 0.000 0.000 0.249
Ba 0.000 0.000 0.751
Ba 0.333 0.667 0.418
Ba 0.333 0.667 0.916
Ba 0.667 0.333 0.084
Ba 0.667 0.333 0.582
Be 0.000 0.000 0.500
Be 0.333 0.667 0.167
Be 0.667 0.333 0.833
W 0.000 0.000 0.000
W 0.333 0.667 0.667
W 0.667 0.333 0.333
! Calculated formation energy   1.555 eV/atom
! Space group   R-3m

| no. | Fermi-level density of states (states/eV per cell) |
| --- | --- |
| 1 | 11.1 |
| 2 | 9.8 |
| 3 | 10.3 |
| 4 | 6.3 |
| 5 | 42.7 |
| 6 | 10.8 |